No. 1
Ac2Pr3Sm3 | GGA-PBE | relaxed

The space group is Immm (No. 71) and the conventional cell measures 5.324, 5.336 and 21.009 Å, with angles of 90.00, 90.00 and 90.00 degrees. Symmetry generates all atoms from Ac at (0.000, 0.000, 0.250), Pr at (0.000, 0.000, 0.000), Pr at (0.000, 0.500, 0.120), Sm at (0.000, 0.000, 0.500) and Sm at (0.000, 0.500, 0.380).

Its distance to the lowest polymorph of the same formula is 0 meV per atom. As for the volume: 298 Å³/f.u. The density comes out at 7.4 g/cm3. The calculated formation energy comes out at 0.03 eV/atom.

No. 2
RbI3Br | GGA-PBE | relaxed

The space group is Pm-3m (No. 221) and the conventional cell measures 6.089, 6.089 and 6.089 Å, with angles of 90.00, 90.00 and 90.00 degrees. Symmetry generates all atoms from Rb at (0.000, 0.000, 0.000), I at (0.000, 0.500, 0.500) and Br at (0.500, 0.500, 0.500).

The value obtained for the uncorrected formation energy is -42.5 kJ/mol of atoms. Its distance to the lowest polymorph of the same formula is 41 meV per atom. As for the volume: 226 Å³/f.u. The density comes out at 4.0 g/cm3.

No. 3
Na2Mg2F7 | GGA-PBE | relaxed

The space group is Fd-3m (No. 227, origin choice 2) and the conventional cell measures 10.440, 10.440 and 10.440 Å, with angles of 90.00, 90.00 and 90.00 degrees. Symmetry generates all atoms from Na at (0.000, 0.000, 0.000), Mg at (0.000, 0.000, 0.500), F at (0.073, 0.375, 0.875) and F at (0.125, 0.125, 0.125).

The value obtained for the uncorrected formation energy is -280.8 kJ/mol of atoms. Its distance to the lowest polymorph of the same formula is 0 meV per atom. As for the volume: 142 Å³/f.u. The density comes out at 2.7 g/cm3.

In order of appearance, total magnetic moment = 0.0000 0.0000 0.1005 μB per atom.